Compound: GaIrS2Cl
Source: Alexandria
Functional: SCAN
Structure: single point on PBEsol structure

a = 4.546 Å, b = 4.546 Å, c = 5.058 Å
α = 90.00°, β = 90.00°, γ = 90.00°
Element x y z (fractional)
S  0.000  0.500  0.000
S  0.500  0.000  0.000
Ir  0.000  0.000  0.000
Ga  0.500  0.500  0.500
Cl  0.000  0.000  0.500

Summary:
* raw formation energy: 0.18 eV/atom
* VASP energy: -22.753 eV per atom
* total magnetization: 0.0 μB/cell
* space group: P4/mmm (123)

---

Compound: BaCrBr2
Source: Alexandria
Functional: SCAN
Structure: single point on PBEsol structure

a = 4.160 Å, b = 4.160 Å, c = 9.338 Å
α = 77.13°, β = 77.13°, γ = 60.00°
Element x y z (fractional)
Cr  0.500  0.500  0.500
Ba  0.000  0.000  0.000
Br  0.883  0.883  0.351
Br  0.117  0.117  0.649

Summary:
* raw formation energy: -0.81 eV/atom
* VASP energy: -25.021 eV per atom
* total magnetization: 4.6 μB/cell
* ΔE to the lowest computed polymorph: 0.2199 eV per atom
* space group: R-3m (166)

---

Compound: YPIO2
Source: Alexandria
Functional: SCAN
Structure: single point on PBEsol structure

a = 4.213 Å, b = 4.213 Å, c = 6.478 Å
α = 90.00°, β = 90.00°, γ = 90.00°
Element x y z (fractional)
I  0.000  0.000  0.500
Y  0.000  0.000  0.000
O  0.000  0.500  0.000
O  0.500  0.000  0.000
P  0.500  0.500  0.500

Summary:
* raw formation energy: -0.91 eV/atom
* VASP energy: -18.402 eV per atom
* total magnetization: 2.2 μB/cell
* space group: P4/mmm (123)

---

Compound: AlOsW2
Source: Alexandria
Functional: SCAN
Structure: single point on PBEsol structure

a = 2.794 Å, b = 2.794 Å, c = 7.641 Å
α = 90.00°, β = 90.00°, γ = 90.00°
Element x y z (fractional)
Os  0.500  0.500  0.500
Al  0.500  0.500  0.000
W  0.000  0.000  0.745
W  0.000  0.000  0.255

Summary:
* energy of formation: -0.022 eV per atom
* VASP energy: -54.774 eV per atom
* total magnetization: 0.0 μB/cell
* space group: P4/mmm (123)